Record 1
# Tm5GeSe4

A relaxed Tm5GeSe4 crystal (PBE, the Alexandria database).

Computed properties:
Raw total energy in eV/atom: -5.665
Formation energy (no corrections) in eV per atom: -1.57
Total moment in μB per atom: 0.00

```
Tm5GeSe4
1.0
-2.0275 2.8471 10.1024
2.0275 -2.8471 10.1024
2.0275 2.8471 -10.1024
Tm Ge Se
5 1 4
direct
0.0000 0.0000 0.0000
0.1998 0.1998 0.0000
0.4049 0.4049 0.0000
0.5951 0.5951 0.0000
0.8002 0.8002 0.0000
0.5000 0.0000 0.5000
0.1017 0.6017 0.5000
0.3003 0.8003 0.5000
0.6997 0.1997 0.5000
0.8983 0.3983 0.5000
```



Record 2
# Li3InAu

A relaxed Li3InAu crystal (PBE, the Alexandria database).

Computed properties:
Raw total energy in eV/atom: -2.630
Offset from the most stable computed form in eV per atom: 0.116
Energy of formation from the pure elements in eV per atom: -0.279
Total moment in μB per atom: 0.00

```
Li3InAu
1.0
2.9189 0.0000 0.0000
-0.0440 4.6844 0.0000
-1.4098 -2.3361 6.6081
Li In Au
3 1 1
direct
0.0000 0.0000 0.0000
0.1248 0.6201 0.2414
0.7162 0.2116 0.4247
0.4201 0.4172 0.8348
0.7973 0.7973 0.5968
```



Record 3
# CeAuN

A relaxed CeAuN crystal (PBE, the Alexandria database).

Computed properties:
Raw total energy in eV/atom: -6.392
Offset from the most stable computed form in eV per atom: 0.526
Formation energy (no corrections) in eV per atom: -0.55
Total moment in μB per atom: 0.06

```
CeAuN
1.0
-1.8725 1.8725 8.1368
1.8725 -1.8725 8.1368
1.8725 1.8725 -8.1368
Ce Au N
2 2 2
direct
0.0900 0.0900 0.0000
0.9100 0.9100 0.0000
0.2918 0.2918 0.0000
0.7082 0.7082 0.0000
0.0000 0.5000 0.5000
0.5000 0.0000 0.5000
```



Record 4
# Na4Cd3Hg

A relaxed Na4Cd3Hg crystal (PBE, the Alexandria database).

Computed properties:
Raw total energy in eV/atom: -1.170
Offset from the most stable computed form in eV per atom: 0.000
Energy of formation from the pure elements in eV per atom: -0.129
Total moment in μB per atom: 0.00

```
Na4Cd3Hg
1.0
3.3561 0.0000 0.0000
0.0000 5.0435 0.0000
0.0000 0.0000 12.6003
Na Cd Hg
4 3 1
direct
0.0000 0.0000 0.0000
0.0000 0.5000 0.3325
0.5000 0.0000 0.4961
0.5000 0.5000 0.8353
0.0000 0.0000 0.7326
0.0000 0.5000 0.5987
0.5000 0.5000 0.0992
0.5000 0.0000 0.2371
```



Record 5
# CaScAs

A relaxed CaScAs crystal (PBE, the Alexandria database).

Computed properties:
Raw total energy in eV/atom: -5.011
Energy of formation from the pure elements in eV per atom: -0.683
Total moment in μB per atom: 0.00

```
CaScAs
1.0
-1.7985 1.7985 5.9476
1.7985 -1.7985 5.9476
1.7985 1.7985 -5.9476
Ca Sc As
1 1 1
direct
0.0000 0.0000 0.0000
0.7328 0.7328 0.0000
0.3238 0.3238 0.0000
```



Record 6
# NdHo12In3

A relaxed NdHo12In3 crystal (PBE, the Alexandria database).

Computed properties:
Raw total energy in eV/atom: -4.430
Energy of formation from the pure elements in eV per atom: -0.185
Total moment in μB per atom: 0.00

```
NdHo12In3
1.0
4.8469 0.0000 0.0000
0.0000 4.8469 0.0000
0.0000 0.0000 19.7672
Nd Ho In
1 12 3
direct
0.0000 0.0000 0.0000
0.0000 0.5000 0.1323
0.0000 0.5000 0.3777
0.0000 0.5000 0.6223
0.0000 0.5000 0.8677
0.5000 0.0000 0.1323
0.5000 0.0000 0.3777
0.5000 0.0000 0.6223
0.5000 0.0000 0.8677
0.5000 0.5000 0.0000
0.5000 0.5000 0.2563
0.5000 0.5000 0.5000
0.5000 0.5000 0.7437
0.0000 0.0000 0.2569
0.0000 0.0000 0.5000
0.0000 0.0000 0.7431
```